PBE with a Hubbard U KCoAs2O8, optimized geometry; magnetization = 2.1 μB/cell; D(E_F) = 0.5114 states/eV/atom; final energy = -5.608 eV per atom; V = 178.03 Å³/cell
1.0
4.871 0.000 0.000
-2.436 4.219 0.000
0.000 0.000 8.663
K Co As O
1 1 2 8
Cartesian
0.000 0.000 0.000
0.000 0.000 4.332
0.000 2.812 2.699
2.436 1.406 5.964
-1.666 2.919 3.239
0.740 1.316 3.239
1.510 0.017 5.425
0.000 2.812 1.020
2.436 1.406 7.643
0.926 4.202 3.239
1.695 2.902 5.425
4.102 1.299 5.425